1.
# PmSmHo5Tm2

Crystalline PmSmHo5Tm2 at its relaxed geometry (PBE, the Alexandria database).

## Properties
E_tot = -39.84 eV/f.u.
Total magnetization = 0.0 μB/f.u.
Energy of formation = 16 kJ/mol of atoms
SG = No. 36

```
data_PmSmHo5Tm2
_symmetry_space_group_name_H-M 'P 1'
_symmetry_Int_Tables_number 1
_symmetry_space_group_name_Hall 'P 1'
_cell_length_a 10.267
_cell_length_b 10.267
_cell_length_c 10.536
_cell_angle_alpha 90.00
_cell_angle_beta 90.00
_cell_angle_gamma 148.46
loop_
_atom_site_label
_atom_site_type_symbol
_atom_site_fract_x
_atom_site_fract_y
_atom_site_fract_z
Pm1 Pm 0.084 0.916 0.500
Pm2 Pm 0.916 0.084 0.000
Sm1 Sm 0.300 0.700 0.062
Sm2 Sm 0.700 0.300 0.562
Ho1 Ho 0.022 0.978 0.786
Ho2 Ho 0.109 0.891 0.074
Ho3 Ho 0.201 0.799 0.759
Ho4 Ho 0.219 0.781 0.360
Ho5 Ho 0.483 0.517 0.076
Ho6 Ho 0.517 0.483 0.576
Ho7 Ho 0.781 0.219 0.860
Ho8 Ho 0.799 0.201 0.259
Ho9 Ho 0.891 0.109 0.574
Ho10 Ho 0.978 0.022 0.286
Tm1 Tm 0.387 0.613 0.370
Tm2 Tm 0.390 0.610 0.786
Tm3 Tm 0.610 0.390 0.286
Tm4 Tm 0.613 0.387 0.870
```

2.
# Pm6Sm2HoTm3

Crystalline Pm6Sm2HoTm3 at its relaxed geometry (PBE, the Alexandria database).

## Properties
E_tot = -55.75 eV/f.u.
Total magnetization = 0.0 μB/f.u.
Energy of formation = 2 kJ/mol of atoms
SG = No. 12

```
data_Pm6Sm2HoTm3
_symmetry_space_group_name_H-M 'P 1'
_symmetry_Int_Tables_number 1
_symmetry_space_group_name_Hall 'P 1'
_cell_length_a 6.239
_cell_length_b 6.239
_cell_length_c 11.839
_cell_angle_alpha 95.02
_cell_angle_beta 95.02
_cell_angle_gamma 119.99
loop_
_atom_site_label
_atom_site_type_symbol
_atom_site_fract_x
_atom_site_fract_y
_atom_site_fract_z
Pm1 Pm 0.085 0.417 0.753
Pm2 Pm 0.248 0.248 0.247
Pm3 Pm 0.417 0.085 0.753
Pm4 Pm 0.583 0.915 0.247
Pm5 Pm 0.752 0.752 0.753
Pm6 Pm 0.915 0.583 0.247
Sm1 Sm 0.333 0.667 0.500
Sm2 Sm 0.667 0.333 0.500
Ho1 Ho 0.000 0.000 0.500
Tm1 Tm 0.167 0.833 0.000
Tm2 Tm 0.500 0.500 0.000
Tm3 Tm 0.833 0.167 0.000
```

3.
# PmSmHoTm

Crystalline PmSmHoTm at its relaxed geometry (PBE, the Alexandria database).

## Properties
E_tot = -18.06 eV/f.u.
Total magnetization = 0.0 μB/f.u.
Energy of formation = 11 kJ/mol of atoms
SG = No. 8

```
data_PmSmHoTm
_symmetry_space_group_name_H-M 'P 1'
_symmetry_Int_Tables_number 1
_symmetry_space_group_name_Hall 'P 1'
_cell_length_a 6.862
_cell_length_b 6.862
_cell_length_c 3.753
_cell_angle_alpha 105.48
_cell_angle_beta 105.48
_cell_angle_gamma 50.43
loop_
_atom_site_label
_atom_site_type_symbol
_atom_site_fract_x
_atom_site_fract_y
_atom_site_fract_z
Pm1 Pm 0.000 0.000 0.000
Sm1 Sm 0.267 0.267 0.805
Ho1 Ho 0.518 0.518 0.529
Tm1 Tm 0.755 0.755 0.280
```

4.
# PmSmHo6Tm2

Crystalline PmSmHo6Tm2 at its relaxed geometry (PBE, the Alexandria database).

## Properties
E_tot = -44.64 eV/f.u.
Total magnetization = 0.0 μB/f.u.
Energy of formation = 12 kJ/mol of atoms
SG = No. 15

```
data_PmSmHo6Tm2
_symmetry_space_group_name_H-M 'P 1'
_symmetry_Int_Tables_number 1
_symmetry_space_group_name_Hall 'P 1'
_cell_length_a 8.731
_cell_length_b 8.731
_cell_length_c 9.492
_cell_angle_alpha 93.61
_cell_angle_beta 93.61
_cell_angle_gamma 117.20
loop_
_atom_site_label
_atom_site_type_symbol
_atom_site_fract_x
_atom_site_fract_y
_atom_site_fract_z
Pm1 Pm 0.092 0.908 0.750
Pm2 Pm 0.908 0.092 0.250
Sm1 Sm 0.472 0.528 0.250
Sm2 Sm 0.528 0.472 0.750
Ho1 Ho 0.011 0.793 0.382
Ho2 Ho 0.067 0.521 0.181
Ho3 Ho 0.207 0.989 0.118
Ho4 Ho 0.253 0.619 0.557
Ho5 Ho 0.381 0.747 0.943
Ho6 Ho 0.479 0.933 0.319
Ho7 Ho 0.521 0.067 0.681
Ho8 Ho 0.619 0.253 0.057
Ho9 Ho 0.747 0.381 0.443
Ho10 Ho 0.793 0.011 0.882
Ho11 Ho 0.933 0.479 0.819
Ho12 Ho 0.989 0.207 0.618
Tm1 Tm 0.200 0.304 0.953
Tm2 Tm 0.304 0.200 0.453
Tm3 Tm 0.696 0.800 0.547
Tm4 Tm 0.800 0.696 0.047
```

5.
# PmSm2HoTm4

Crystalline PmSm2HoTm4 at its relaxed geometry (PBE, the Alexandria database).

## Properties
E_tot = -33.19 eV/f.u.
Total magnetization = 2.7 μB/f.u.
Energy of formation = 42 kJ/mol of atoms
SG = No. 15

```
data_PmSm2HoTm4
_symmetry_space_group_name_H-M 'P 1'
_symmetry_Int_Tables_number 1
_symmetry_space_group_name_Hall 'P 1'
_cell_length_a 9.469
_cell_length_b 9.469
_cell_length_c 6.773
_cell_angle_alpha 110.95
_cell_angle_beta 110.95
_cell_angle_gamma 88.64
loop_
_atom_site_label
_atom_site_type_symbol
_atom_site_fract_x
_atom_site_fract_y
_atom_site_fract_z
Pm1 Pm 0.000 0.500 0.000
Pm2 Pm 0.500 0.000 0.500
Sm1 Sm 0.000 0.000 0.000
Sm2 Sm 0.000 0.000 0.500
Sm3 Sm 0.000 0.500 0.500
Sm4 Sm 0.500 0.000 0.000
Ho1 Ho 0.500 0.500 0.000
Ho2 Ho 0.500 0.500 0.500
Tm1 Tm 0.252 0.747 0.500
Tm2 Tm 0.253 0.253 0.004
Tm3 Tm 0.253 0.253 0.504
Tm4 Tm 0.253 0.748 0.000
Tm5 Tm 0.747 0.252 0.000
Tm6 Tm 0.747 0.747 0.496
Tm7 Tm 0.747 0.747 0.996
Tm8 Tm 0.748 0.253 0.500
```

6.
# PmSm5Ho2Tm

Crystalline PmSm5Ho2Tm at its relaxed geometry (PBE, the Alexandria database).

## Properties
E_tot = -40.64 eV/f.u.
Total magnetization = 0.0 μB/f.u.
Energy of formation = 14 kJ/mol of atoms
SG = No. 36

```
data_PmSm5Ho2Tm
_symmetry_space_group_name_H-M 'P 1'
_symmetry_Int_Tables_number 1
_symmetry_space_group_name_Hall 'P 1'
_cell_length_a 10.495
_cell_length_b 10.495
_cell_length_c 10.681
_cell_angle_alpha 90.00
_cell_angle_beta 90.00
_cell_angle_gamma 148.93
loop_
_atom_site_label
_atom_site_type_symbol
_atom_site_fract_x
_atom_site_fract_y
_atom_site_fract_z
Pm1 Pm 0.201 0.799 0.500
Pm2 Pm 0.799 0.201 0.000
Sm1 Sm 0.017 0.983 0.512
Sm2 Sm 0.281 0.719 0.798
Sm3 Sm 0.298 0.702 0.195
Sm4 Sm 0.391 0.609 0.514
Sm5 Sm 0.480 0.520 0.232
Sm6 Sm 0.520 0.480 0.732
Sm7 Sm 0.609 0.391 0.014
Sm8 Sm 0.702 0.298 0.695
Sm9 Sm 0.719 0.281 0.298
Sm10 Sm 0.983 0.017 0.012
Ho1 Ho 0.110 0.890 0.228
Ho2 Ho 0.115 0.885 0.806
Ho3 Ho 0.885 0.115 0.306
Ho4 Ho 0.890 0.110 0.728
Tm1 Tm 0.411 0.589 0.949
Tm2 Tm 0.589 0.411 0.449
```

7.
# Pm2Sm4HoTm2

Crystalline Pm2Sm4HoTm2 at its relaxed geometry (PBE, the Alexandria database).

## Properties
E_tot = -41.73 eV/f.u.
Total magnetization = 0.0 μB/f.u.
Energy of formation = 2 kJ/mol of atoms
SG = No. 12

```
data_Pm2Sm4HoTm2
_symmetry_space_group_name_H-M 'P 1'
_symmetry_Int_Tables_number 1
_symmetry_space_group_name_Hall 'P 1'
_cell_length_a 9.503
_cell_length_b 9.503
_cell_length_c 8.808
_cell_angle_alpha 90.05
_cell_angle_beta 90.05
_cell_angle_gamma 21.75
loop_
_atom_site_label
_atom_site_type_symbol
_atom_site_fract_x
_atom_site_fract_y
_atom_site_fract_z
Pm1 Pm 0.111 0.111 0.329
Pm2 Pm 0.889 0.889 0.671
Sm1 Sm 0.222 0.222 0.671
Sm2 Sm 0.444 0.444 0.329
Sm3 Sm 0.556 0.556 0.671
Sm4 Sm 0.778 0.778 0.329
Ho1 Ho 0.000 0.000 0.000
Tm1 Tm 0.333 0.333 0.000
Tm2 Tm 0.667 0.667 0.000
```

8.
# PmSmHo4Tm2

Crystalline PmSmHo4Tm2 at its relaxed geometry (PBE, the Alexandria database).

## Properties
E_tot = -33.22 eV/f.u.
Total magnetization = 3.1 μB/f.u.
Energy of formation = 42 kJ/mol of atoms
SG = No. 74

```
data_PmSmHo4Tm2
_symmetry_space_group_name_H-M 'P 1'
_symmetry_Int_Tables_number 1
_symmetry_space_group_name_Hall 'P 1'
_cell_length_a 9.467
_cell_length_b 9.467
_cell_length_c 9.467
_cell_angle_alpha 138.13
_cell_angle_beta 103.39
_cell_angle_gamma 91.36
loop_
_atom_site_label
_atom_site_type_symbol
_atom_site_fract_x
_atom_site_fract_y
_atom_site_fract_z
Pm1 Pm 0.000 0.000 0.000
Pm2 Pm 0.500 0.000 0.500
Sm1 Sm 0.500 0.000 0.000
Sm2 Sm 0.500 0.500 0.500
Ho1 Ho 0.243 0.747 0.496
Ho2 Ho 0.246 0.248 0.502
Ho3 Ho 0.246 0.745 0.998
Ho4 Ho 0.250 0.253 0.996
Ho5 Ho 0.750 0.747 0.004
Ho6 Ho 0.754 0.255 0.002
Ho7 Ho 0.754 0.752 0.498
Ho8 Ho 0.757 0.253 0.504
Tm1 Tm 0.000 0.000 0.500
Tm2 Tm 0.000 0.500 0.000
Tm3 Tm 0.000 0.500 0.500
Tm4 Tm 0.500 0.500 0.000
```